# 1
VASP calculation (PBE) on a geometry-optimized PmY12Sc2 structure.

abc: 3.605 4.815 27.894
angles: 90.00 93.67 90.00
Space group P2/m (No. 10)
Unique sites:
Pm: 0.000 0.000 0.000 x1
Y: 0.067 0.000 0.132 x2
Y: 0.193 0.000 0.382 x2
Y: 0.275 0.500 0.552 x2
Y: 0.338 0.500 0.679 x2
Y: 0.399 0.500 0.803 x2
Y: 0.466 0.500 0.933 x2
Sc: 0.131 0.000 0.259 x2

**ΔE_f**: 0.126 eV/atom
**Size of the total moment**: 0.000 μB per atom

---

# 2
VASP calculation (PBE) on a geometry-optimized Ho2Mn16Fe structure.

abc: 8.6212 8.6212 11.5947
angles: 90.00 90.00 120.00
Space group R3m (No. 160, hexagonal axes)
Unique sites:
Ho: 0.0000 0.0000 0.0000 x3
Ho: 0.0000 0.0000 0.2906 x3
Mn: 0.0000 0.0000 0.7454 x3
Mn: 0.9998 0.2754 0.6439 x18
Mn: 0.0022 0.5011 0.1442 x9
Mn: 0.0139 0.5069 0.5072 x9
Mn: 0.1732 0.3463 0.1156 x9
Fe: 0.0000 0.0000 0.5441 x3

**ΔE_f**: -0.002 eV/atom
**Size of the total moment**: 0.213 μB per atom